DFT (SCAN) results for a crystal of La2ZrSi relaxed with PBEsol.

## Properties
Formation energy from raw total energies (meV/atom): -36
Symmetry: P4/mmm, No. 123

Unit cell a=3.3071 b=3.3071 c=9.3759 alpha=90.00 beta=90.00 gamma=90.00
Fractional coordinates of all 4 atoms:
La 0.0000 0.0000 0.7796
La 0.0000 0.0000 0.2204
Si 0.5000 0.5000 0.0000
Zr 0.5000 0.5000 0.5000

---

DFT (SCAN) results for a crystal of La2ZrSi relaxed with PBEsol.

## Properties
Formation energy from raw total energies (meV/atom): -142
Symmetry: I-4m2, No. 119

Unit cell a=4.5617 b=4.5617 c=5.6197 alpha=113.95 beta=113.95 gamma=90.00
Fractional coordinates of all 4 atoms:
La 0.0000 0.0000 0.0000
La 0.7500 0.2500 0.5000
Si 0.5000 0.5000 0.0000
Zr 0.2500 0.7500 0.5000

---

DFT (SCAN) results for a crystal of LaZrSi2 relaxed with PBEsol.

## Properties
Formation energy from raw total energies (meV/atom): -249
Symmetry: P4/mmm, No. 123

Unit cell a=4.0643 b=4.4856 c=4.4843 alpha=90.00 beta=90.00 gamma=90.00
Fractional coordinates of all 4 atoms:
La 0.5000 0.0000 0.5000
Si 0.0000 0.0000 0.0000
Si 0.0000 0.5000 0.5000
Zr 0.5000 0.5000 0.0000

---

DFT (SCAN) results for a crystal of La2ZrSi2 relaxed with PBEsol.

## Properties
Formation energy from raw total energies (meV/atom): 233
Symmetry: I4/mmm, No. 139

Unit cell a=5.4565 b=5.9319 c=5.4565 alpha=62.62 beta=90.00 gamma=117.38
Last column: magnetic moment on the atom in μB.
Fractional coordinates of all 5 atoms:
Si 0.7500 0.5000 0.7500  -0.05
Si 0.2500 0.5000 0.2500  -0.05
Zr 0.0000 0.0000 0.0000  0.96
La 0.6640 0.3280 0.3360  0.14
La 0.3360 0.6720 0.6640  0.14

---

DFT (SCAN) results for a crystal of LaSmTl2 relaxed with PBEsol.

## Properties
Symmetry: Fm-3m, No. 225

Unit cell a=5.4469 b=5.4469 c=5.4469 alpha=60.00 beta=60.00 gamma=60.00
Fractional coordinates of all 4 atoms:
Tl 0.2500 0.2500 0.2500
Tl 0.7500 0.7500 0.7500
Sm 0.0000 0.0000 0.0000
La 0.5000 0.5000 0.5000

---

DFT (SCAN) results for a crystal of La11Sn10 relaxed with PBEsol.

## Properties
Symmetry: I4/mmm, No. 139

Unit cell a=11.9883 b=12.4114 c=11.9883 alpha=61.12 beta=90.00 gamma=118.88
Fractional coordinates of all 42 atoms:
La 0.6610 0.3220 0.3390
La 0.3390 0.6780 0.6610
La 0.1790 0.0000 0.1790
La 0.8210 0.0000 0.8210
La 0.1790 0.0000 0.8210
La 0.8210 0.0000 0.1790
La 0.8090 0.6181 0.4420
La 0.8090 0.6181 0.9400
La 0.0600 0.6181 0.1910
La 0.5580 0.6181 0.1910
La 0.1910 0.3819 0.5580
La 0.1910 0.3819 0.0600
La 0.9400 0.3819 0.8090
La 0.4420 0.3819 0.8090
La 0.6031 0.2061 0.7182
La 0.6031 0.2061 0.0757
La 0.9243 0.2061 0.3969
La 0.2818 0.2061 0.3969
La 0.3969 0.7939 0.2818
La 0.3969 0.7939 0.9243
La 0.0757 0.7939 0.6031
La 0.7182 0.7939 0.6031
Sn 0.8947 0.7894 0.1053
Sn 0.1053 0.2106 0.8947
Sn 0.7500 0.5000 0.7500
Sn 0.2500 0.5000 0.2500
Sn 0.3773 0.0000 0.3773
Sn 0.6227 0.0000 0.6227
Sn 0.3773 0.0000 0.6227
Sn 0.6227 0.0000 0.3773
Sn 0.3677 0.0000 0.0000
Sn 0.6323 0.0000 0.0000
Sn 0.0000 0.0000 0.6323
Sn 0.0000 0.0000 0.3677
Sn 0.8901 0.3599 0.5302
Sn 0.4698 0.3599 0.1099
Sn 0.8901 0.3599 0.1099
Sn 0.4698 0.3599 0.5302
Sn 0.1099 0.6401 0.4698
Sn 0.5302 0.6401 0.8901
Sn 0.1099 0.6401 0.8901
Sn 0.5302 0.6401 0.4698

---

DFT (SCAN) results for a crystal of La2Sn3 relaxed with PBEsol.

## Properties
Symmetry: P-1, No. 2

Unit cell a=6.4745 b=8.4889 c=11.2253 alpha=107.17 beta=96.67 gamma=99.88
Fractional coordinates of all 20 atoms:
Sn 0.0505 0.3528 0.3784
Sn 0.9495 0.6472 0.6216
Sn 0.3555 0.1647 0.4956
Sn 0.6445 0.8353 0.5044
Sn 0.4371 0.1704 0.0498
Sn 0.5629 0.8296 0.9502
Sn 0.3265 0.6009 0.1373
Sn 0.6735 0.3991 0.8627
Sn 0.2231 0.4050 0.8661
Sn 0.7769 0.5950 0.1339
Sn 0.1800 0.0401 0.2226
Sn 0.8200 0.9599 0.7774
La 0.3299 0.0313 0.7426
La 0.6701 0.9687 0.2574
La 0.9569 0.2517 0.0542
La 0.0431 0.7483 0.9458
La 0.5587 0.4322 0.3366
La 0.4413 0.5678 0.6634
La 0.1249 0.7537 0.3826
La 0.8751 0.2463 0.6174

---

DFT (SCAN) results for a crystal of LaSn3 relaxed with PBEsol.

## Properties
Symmetry: Pm-3m, No. 221

Unit cell a=4.7223 b=4.7223 c=4.7223 alpha=90.00 beta=90.00 gamma=90.00
Fractional coordinates of all 4 atoms:
Sn 0.0000 0.5000 0.5000
Sn 0.5000 0.5000 0.0000
Sn 0.5000 0.0000 0.5000
La 0.0000 0.0000 0.0000

---

DFT (SCAN) results for a crystal of La3Sn7 relaxed with PBEsol.

## Properties
Symmetry: Cmmm, No. 65

Unit cell a=4.5809 b=4.6713 c=12.9009 alpha=90.00 beta=100.23 gamma=90.00
Fractional coordinates of all 10 atoms:
La 0.1857 0.0000 0.3713
La 0.8143 0.0000 0.6287
La 0.0000 0.0000 0.0000
Sn 0.2910 0.5000 0.5820
Sn 0.7090 0.5000 0.4180
Sn 0.4053 0.0000 0.8105
Sn 0.5947 0.0000 0.1895
Sn 0.0957 0.5000 0.1914
Sn 0.9043 0.5000 0.8086
Sn 0.5000 0.5000 0.0000

---

DFT (SCAN) results for a crystal of La3Sn relaxed with PBEsol.

## Properties
Symmetry: Pm-3m, No. 221

Unit cell a=4.9382 b=4.9382 c=4.9382 alpha=90.00 beta=90.00 gamma=90.00
Fractional coordinates of all 4 atoms:
Sn 0.0000 0.0000 0.0000
La 0.5000 0.5000 0.0000
La 0.5000 0.0000 0.5000
La 0.0000 0.5000 0.5000

---

DFT (SCAN) results for a crystal of Sr3LaSn relaxed with PBEsol.

## Properties
Symmetry: Pm-3m, No. 221

Unit cell a=5.9183 b=5.9183 c=5.9183 alpha=90.00 beta=90.00 gamma=90.00
Fractional coordinates of all 5 atoms:
Sr 0.0000 0.5000 0.0000
Sr 0.0000 0.0000 0.5000
Sr 0.5000 0.0000 0.0000
Sn 0.5000 0.5000 0.5000
La 0.0000 0.0000 0.0000

---

DFT (SCAN) results for a crystal of La3TaSn relaxed with PBEsol.

## Properties
Symmetry: Pm-3m, No. 221

Unit cell a=5.4655 b=5.4655 c=5.4655 alpha=90.00 beta=90.00 gamma=90.00
Fractional coordinates of all 5 atoms:
La 0.0000 0.5000 0.0000
La 0.0000 0.0000 0.5000
La 0.5000 0.0000 0.0000
Sn 0.5000 0.5000 0.5000
Ta 0.0000 0.0000 0.0000

---

Computed electronic total energy, in the same sequence as the records: -31.77; -31.87; -23.71; -27.15; -58.68; -40.61; -39.67; -38.34; -38.80; -41.87; -28.41; -46.22 eV per atom.